# 1
Here is crystalline K12Ag2Hg5 at its relaxed geometry from Alexandria via LeMat-Bulk. Energies are from PBE.

Unit cell a=9.465 b=9.465 c=9.621 alpha=99.62 beta=99.62 gamma=78.58
Atoms (fractional coordinates):
K 0.005 0.342 0.825
K 0.094 0.094 0.174
K 0.169 0.609 0.618
K 0.342 0.005 0.825
K 0.391 0.391 0.231
K 0.391 0.831 0.382
K 0.609 0.169 0.618
K 0.609 0.609 0.769
K 0.658 0.995 0.175
K 0.831 0.391 0.382
K 0.906 0.906 0.826
K 0.995 0.658 0.175
Ag 0.300 0.700 0.000
Ag 0.700 0.300 0.000
Hg 0.000 0.000 0.500
Hg 0.218 0.218 0.528
Hg 0.384 0.384 0.868
Hg 0.616 0.616 0.132
Hg 0.782 0.782 0.472

Output
As for the density of states at the Fermi level: 0.509 states/eV per atom. Its space-group type is C2/m. The calculated total energy is -1.1712 eV/atom. The total moment is 0.000 μB/atom. For the energy relative to the elements, the calculation gives -0.098 eV/atom.

=====

# 2
Here is crystalline MgPt2Pb2 at its relaxed geometry from Alexandria via LeMat-Bulk. Energies are from PBE.

Unit cell a=8.169 b=8.169 c=3.346 alpha=90.00 beta=90.00 gamma=90.00
Atoms (fractional coordinates):
Mg 0.000 0.000 0.000
Mg 0.500 0.500 0.000
Pt 0.154 0.346 0.500
Pt 0.346 0.846 0.500
Pt 0.654 0.154 0.500
Pt 0.846 0.654 0.500
Pb 0.144 0.644 0.000
Pb 0.356 0.144 0.000
Pb 0.644 0.856 0.000
Pb 0.856 0.356 0.000

Output
As for the density of states at the Fermi level: 0.347 states/eV per atom. The value obtained for the energy above the most stable polymorph in this dataset is 251.1 meV/atom. Its space-group type is P4/mbm. The calculated total energy is -4.2177 eV/atom. The total moment is 0.000 μB/atom. For the energy relative to the elements, the calculation gives 0.001 eV/atom.

=====

# 3
Here is crystalline FeTeOs2 at its relaxed geometry from Alexandria via LeMat-Bulk. Energies are from PBE.

Unit cell a=2.836 b=2.836 c=9.233 alpha=90.00 beta=90.00 gamma=117.22
Atoms (fractional coordinates):
Fe 0.000 0.000 0.000
Te 0.000 0.000 0.500
Os 0.500 0.500 0.219
Os 0.500 0.500 0.781

Output
As for the density of states at the Fermi level: 1.220 states/eV per atom. Its uncorrected formation energy is 943 meV/atom. Its space-group type is Cmmm. The calculated total energy is -7.5727 eV/atom. The total moment is 0.876 μB/atom.